1.
# BeTc2Ag (PBEsol, optimized geometry)
data_BeTc2Ag
_cell_length_a 2.682
_cell_length_b 4.229
_cell_length_c 5.321
_cell_angle_alpha 113.42
_cell_angle_beta 104.60
_cell_angle_gamma 90.00
_symmetry_space_group_name_H-M 'P 1'
_symmetry_Int_Tables_number 1
loop_
_symmetry_equiv_pos_as_xyz
'x,y,z'
loop_
_atom_site_label
_atom_site_type_symbol
_atom_site_fract_x
_atom_site_fract_y
_atom_site_fract_z
Be1 Be 0.000 0.500 0.000
Tc1 Tc 0.712 0.712 0.424
Tc2 Tc 0.288 0.288 0.576
Ag1 Ag 0.500 0.000 0.000
# * E_form: 0.279 eV/atom
# * calculated total energy: -28.7 eV/cell
# * Fermi-level density of states: 0.61 states/eV per atom
# * spin magnetization: 0.0 Bohr magnetons per cell
# * V: 13.3 A^3/atom



2.
# BeTcAg2 (PBEsol, optimized geometry)
data_BeTcAg2
_cell_length_a 2.711
_cell_length_b 2.711
_cell_length_c 7.419
_cell_angle_alpha 90.00
_cell_angle_beta 90.00
_cell_angle_gamma 90.00
_symmetry_space_group_name_H-M 'P 1'
_symmetry_Int_Tables_number 1
loop_
_symmetry_equiv_pos_as_xyz
'x,y,z'
loop_
_atom_site_label
_atom_site_type_symbol
_atom_site_fract_x
_atom_site_fract_y
_atom_site_fract_z
Be1 Be 0.000 0.000 0.506
Tc1 Tc 0.500 0.500 0.709
Ag1 Ag 0.000 0.000 0.994
Ag2 Ag 0.500 0.500 0.291
# * E_form: 0.200 eV/atom
# * calculated total energy: -21.1 eV/cell
# * Fermi-level density of states: 0.74 states/eV per atom
# * spin magnetization: 0.0 Bohr magnetons per cell
# * V: 13.6 A^3/atom



3.
# Be4AgTe (PBEsol, optimized geometry)
data_Be4AgTe
_cell_length_a 4.782
_cell_length_b 4.782
_cell_length_c 4.782
_cell_angle_alpha 60.00
_cell_angle_beta 60.00
_cell_angle_gamma 60.00
_symmetry_space_group_name_H-M 'P 1'
_symmetry_Int_Tables_number 1
loop_
_symmetry_equiv_pos_as_xyz
'x,y,z'
loop_
_atom_site_label
_atom_site_type_symbol
_atom_site_fract_x
_atom_site_fract_y
_atom_site_fract_z
Be1 Be 0.627 0.627 0.120
Be2 Be 0.120 0.627 0.627
Be3 Be 0.627 0.120 0.627
Be4 Be 0.627 0.627 0.627
Te1 Te 0.250 0.250 0.250
Ag1 Ag 0.000 0.000 0.000
# * calculated total energy: -20.0 eV/cell
# * Fermi-level density of states: 0.19 states/eV per atom
# * formation energy (no corrections): 480 meV/atom
# * spin magnetization: 0.0 Bohr magnetons per cell
# * V: 12.9 A^3/atom



4.
# BeAgTe3 (PBEsol, optimized geometry)
data_BeAgTe3
_cell_length_a 4.939
_cell_length_b 4.939
_cell_length_c 4.939
_cell_angle_alpha 90.00
_cell_angle_beta 90.00
_cell_angle_gamma 90.00
_symmetry_space_group_name_H-M 'P 1'
_symmetry_Int_Tables_number 1
loop_
_symmetry_equiv_pos_as_xyz
'x,y,z'
loop_
_atom_site_label
_atom_site_type_symbol
_atom_site_fract_x
_atom_site_fract_y
_atom_site_fract_z
Be1 Be 0.000 0.000 0.000
Te1 Te 0.000 0.500 0.000
Te2 Te 0.000 0.000 0.500
Te3 Te 0.500 0.000 0.000
Ag1 Ag 0.500 0.500 0.500
# * calculated total energy: -15.4 eV/cell
# * Fermi-level density of states: 0.99 states/eV per atom
# * formation energy (no corrections): 497 meV/atom
# * spin magnetization: 0.0 Bohr magnetons per cell
# * V: 24.1 A^3/atom



5.
# BeAgTe2 (PBEsol, optimized geometry)
data_BeAgTe2
_cell_length_a 6.026
_cell_length_b 6.026
_cell_length_c 7.049
_cell_angle_alpha 115.31
_cell_angle_beta 115.31
_cell_angle_gamma 90.00
_symmetry_space_group_name_H-M 'P 1'
_symmetry_Int_Tables_number 1
loop_
_symmetry_equiv_pos_as_xyz
'x,y,z'
loop_
_atom_site_label
_atom_site_type_symbol
_atom_site_fract_x
_atom_site_fract_y
_atom_site_fract_z
Be1 Be 0.750 0.250 0.500
Be2 Be 0.500 0.500 0.000
Te1 Te 0.835 0.375 0.250
Te2 Te 0.415 0.875 0.250
Te3 Te 0.625 0.585 0.750
Te4 Te 0.125 0.165 0.750
Ag1 Ag 0.250 0.750 0.500
Ag2 Ag 0.000 0.000 0.000
# * calculated total energy: -29.4 eV/cell
# * Fermi-level density of states: 0.69 states/eV per atom
# * formation energy (no corrections): -83 meV/atom
# * spin magnetization: 0.0 Bohr magnetons per cell
# * V: 25.5 A^3/atom



6.
# BeAg3Te (PBEsol, optimized geometry)
data_BeAg3Te
_cell_length_a 4.516
_cell_length_b 4.516
_cell_length_c 4.516
_cell_angle_alpha 90.00
_cell_angle_beta 90.00
_cell_angle_gamma 90.00
_symmetry_space_group_name_H-M 'P 1'
_symmetry_Int_Tables_number 1
loop_
_symmetry_equiv_pos_as_xyz
'x,y,z'
loop_
_atom_site_label
_atom_site_type_symbol
_atom_site_fract_x
_atom_site_fract_y
_atom_site_fract_z
Be1 Be 0.000 0.000 0.000
Te1 Te 0.500 0.500 0.500
Ag1 Ag 0.000 0.500 0.000
Ag2 Ag 0.000 0.000 0.500
Ag3 Ag 0.500 0.000 0.000
# * calculated total energy: -15.5 eV/cell
# * Fermi-level density of states: 0.49 states/eV per atom
# * formation energy (no corrections): 397 meV/atom
# * spin magnetization: 0.0 Bohr magnetons per cell
# * V: 18.4 A^3/atom



7.
# BeAgTe2 (PBEsol, optimized geometry)
data_BeAgTe2
_cell_length_a 3.813
_cell_length_b 3.813
_cell_length_c 7.010
_cell_angle_alpha 74.22
_cell_angle_beta 74.22
_cell_angle_gamma 60.00
_symmetry_space_group_name_H-M 'P 1'
_symmetry_Int_Tables_number 1
loop_
_symmetry_equiv_pos_as_xyz
'x,y,z'
loop_
_atom_site_label
_atom_site_type_symbol
_atom_site_fract_x
_atom_site_fract_y
_atom_site_fract_z
Be1 Be 0.000 0.000 0.000
Te1 Te 0.261 0.261 0.218
Te2 Te 0.739 0.739 0.782
Ag1 Ag 0.500 0.500 0.500
# * calculated total energy: -14.2 eV/cell
# * Fermi-level density of states: 0.43 states/eV per atom
# * formation energy (no corrections): 36 meV/atom
# * spin magnetization: 0.0 Bohr magnetons per cell
# * V: 21.0 A^3/atom



8.
# Ti2Be2Ag (PBEsol, optimized geometry)
data_Ti2Be2Ag
_cell_length_a 3.453
_cell_length_b 6.159
_cell_length_c 6.159
_cell_angle_alpha 90.00
_cell_angle_beta 90.00
_cell_angle_gamma 90.00
_symmetry_space_group_name_H-M 'P 1'
_symmetry_Int_Tables_number 1
loop_
_symmetry_equiv_pos_as_xyz
'x,y,z'
loop_
_atom_site_label
_atom_site_type_symbol
_atom_site_fract_x
_atom_site_fract_y
_atom_site_fract_z
Be1 Be 0.000 0.374 0.874
Be2 Be 0.000 0.874 0.626
Be3 Be 0.000 0.626 0.126
Be4 Be 0.000 0.126 0.374
Ag1 Ag 0.000 0.000 0.000
Ag2 Ag 0.000 0.500 0.500
Ti1 Ti 0.500 0.166 0.666
Ti2 Ti 0.500 0.666 0.834
Ti3 Ti 0.500 0.834 0.334
Ti4 Ti 0.500 0.334 0.166
# * E_form: -0.101 eV/atom
# * calculated total energy: -56.9 eV/cell
# * Fermi-level density of states: 0.63 states/eV per atom
# * spin magnetization: 0.0 Bohr magnetons per cell
# * V: 13.1 A^3/atom



The highest Fermi-level density of states belongs to which entry?
BeAgTe3